[1]
Entry from Alexandria: a relaxed structure of ZnC8N6 (PBE-GGA).

Its calculated volume is 14.3 A^3/atom. Its density of states at the Fermi level is 0.00 states/eV/f.u. The final energy is -7.9346 eV/atom.

It has space group Pmna (No. 53), with a = 7.4954 Å, b = 5.3883 Å, c = 10.6444 Å, α = 90.00°, β = 90.00° and γ = 90.00°. The distinct sites, in fractional coordinates, are Zn at (0.0000, 0.0000, 0.0000), C at (0.0000, 0.3928, 0.2520), C at (0.0000, 0.4149, 0.6587), C at (0.1594, 0.3087, 0.6156), N at (0.0000, 0.2344, 0.1765) and N at (0.2101, 0.2167, 0.9227).

[2]
Entry from Alexandria: a relaxed structure of ZnC2N (PBE-GGA).

Its calculated volume is 9.2 A^3/atom. Its density of states at the Fermi level is 1.38 states/eV/f.u. As for the energy above the most stable polymorph in this dataset: 1.736 eV per atom.

It has space group Fm-3m (No. 225), with a = 5.2841 Å, b = 5.2841 Å, c = 5.2841 Å, α = 90.00°, β = 90.00° and γ = 90.00°. The distinct sites, in fractional coordinates, are Zn at (0.0000, 0.0000, 0.0000), C at (0.2500, 0.2500, 0.2500) and N at (0.0000, 0.0000, 0.5000).

[3]
Entry from Alexandria: a relaxed structure of Zn2C3N6 (PBE-GGA).

Its calculated volume is 12.3 A^3/atom. Its density of states at the Fermi level is 5.43 states/eV/f.u. The final energy is -6.9740 eV/atom.

It has space group R-3c (No. 167, hexagonal axes), with a = 5.6764 Å, b = 5.6764 Å, c = 29.0379 Å, α = 90.00°, β = 90.00° and γ = 120.00°. The distinct sites, in fractional coordinates, are Zn at (0.0000, 0.0000, 0.1642), C at (0.0000, 0.3096, 0.2500) and N at (0.0029, 0.3856, 0.9583).

[4]
Entry from Alexandria: a relaxed structure of ZnCN3 (PBE-GGA).

Its calculated volume is 11.5 A^3/atom. Its density of states at the Fermi level is 1.88 states/eV/f.u. The final energy is -3.6458 eV/atom.

It has space group Pm-3m (No. 221), with a = 3.8553 Å, b = 3.8553 Å, c = 3.8553 Å, α = 90.00°, β = 90.00° and γ = 90.00°. The distinct sites, in fractional coordinates, are Zn at (0.0000, 0.0000, 0.0000), C at (0.5000, 0.5000, 0.5000) and N at (0.0000, 0.0000, 0.5000).

Q: The lowest calculated volume belongs to which entry?
A: ZnC2N